Entry 1:
LaInTe2O8: relaxed, PBE.

The structure in POSCAR format:
```
LaInTe2O8
1.0
-4.988 -1.114 -3.325
4.512 -4.096 0.193
-2.985 -3.030 5.493
La In Te O
1 1 2 8
Direct
0.000 0.000 0.500 La
0.000 0.000 0.000 In
0.667 0.333 0.253 Te
0.333 0.667 0.747 Te
0.852 0.148 0.219 O
0.852 0.704 0.219 O
0.296 0.148 0.219 O
0.704 0.852 0.781 O
0.333 0.667 0.483 O
0.667 0.333 0.517 O
0.148 0.852 0.781 O
0.148 0.296 0.781 O
```

Summary:
space group: P-3m1, No. 164
formation energy from raw total energies: -1.4140 eV/atom
size of the total moment: 1.4 μB/cell
mass density: 4.7 Mg/m³

Entry 2:
LaIn2TeO8: relaxed, PBE.

The structure in POSCAR format:
```
LaIn2TeO8
1.0
-3.174 3.277 1.763
0.183 -2.179 4.375
5.348 4.180 1.858
La In Te O
1 2 1 8
Direct
0.000 0.000 0.500 La
0.500 0.500 0.766 In
0.500 0.500 0.234 In
0.000 0.000 0.000 Te
0.187 0.813 0.207 O
0.715 0.714 0.000 O
0.813 0.187 0.207 O
0.813 0.187 0.793 O
0.285 0.286 0.000 O
0.187 0.813 0.793 O
0.672 0.671 0.500 O
0.328 0.329 0.500 O
```

Summary:
space group: Cmmm, No. 65
formation energy from raw total energies: -1.6229 eV/atom
size of the total moment: 0.6 μB/cell
mass density: 6.2 Mg/m³

Entry 3:
La2TlInO6: relaxed, PBE.

The structure in POSCAR format:
```
La2TlInO6
1.0
-5.498 0.157 -1.873
0.287 -5.940 -1.339
-2.683 -1.897 7.838
La Tl In O
4 2 2 12
Direct
0.018 0.941 0.248 La
0.518 0.559 0.748 La
0.982 0.059 0.752 La
0.482 0.441 0.252 La
0.500 0.000 0.500 Tl
0.000 0.500 0.000 Tl
0.500 0.000 0.000 In
0.000 0.500 0.500 In
0.313 0.700 0.072 O
0.813 0.800 0.572 O
0.687 0.300 0.928 O
0.187 0.200 0.428 O
0.304 0.688 0.435 O
0.804 0.812 0.935 O
0.696 0.312 0.565 O
0.196 0.188 0.065 O
0.870 0.560 0.258 O
0.370 0.940 0.758 O
0.130 0.440 0.742 O
0.630 0.060 0.242 O
```

Summary:
space group: P2_1/c, No. 14
formation energy from raw total energies: -2.2714 eV/atom
size of the total moment: 0.0 μB/cell
mass density: 7.6 Mg/m³

Entry 4:
La4TlInO: relaxed, PBE.

The structure in POSCAR format:
```
La4TlInO
1.0
-2.706 0.148 6.391
-4.194 -5.266 -1.654
7.485 -5.814 -0.466
La Tl In O
8 2 2 2
Direct
0.921 0.250 0.842 La
0.434 0.750 0.869 La
0.079 0.750 0.158 La
0.566 0.250 0.131 La
0.500 0.500 0.500 La
0.000 0.000 0.500 La
0.500 0.000 0.500 La
0.000 0.500 0.500 La
0.110 0.250 0.219 Tl
0.890 0.750 0.781 Tl
0.615 0.750 0.231 In
0.385 0.250 0.769 In
0.227 0.750 0.454 O
0.773 0.250 0.546 O
```

Summary:
space group: Cmcm, No. 63
formation energy from raw total energies: -1.0633 eV/atom
size of the total moment: 0.0 μB/cell
mass density: 7.0 Mg/m³